Here is an optimized crystal structure of TbGaGe4 from Alexandria. Energies are from PBE-GGA.

Properties
volume: 20.3 A^3/atom
final energy: -4.5069 eV per atom

Cell: 7.8712 7.8712 7.8712 Å, 90.00 90.00 90.00°
With the nearest neighbours (Å) after each atom.
Space group F-43m (No. 216)
Unique sites:
Tb 0.0000 0.0000 0.0000  12 Ge 3.26, 4 Ga 3.41
Ga 0.2500 0.2500 0.2500  12 Ge 3.26, 4 Tb 3.41
Ge 0.1247 0.1247 0.6247  6 Ge 2.78-2.79

=====

Here is an optimized crystal structure of LiCaAl2 from Alexandria. Energies are from PBE-GGA.

Properties
volume: 22.2 A^3/atom
final energy: -2.8970 eV per atom

Cell: 8.8588 3.5403 5.7773 Å, 90.00 101.96 90.00°
With the nearest neighbours (Å) after each atom.
Space group Cm (No. 8)
Unique sites:
Li 0.0000 0.0000 0.0000  5 Al 2.75-2.81, 1 Ca 2.99
Ca 0.2730 0.5000 0.3169  3 Li 2.99-3.24, 3 Al 3.09-3.17
Al 0.0319 0.5000 0.6350  3 Al 2.75-2.80, 2 Li 2.81
Al 0.2629 0.0000 0.8179  3 Al 2.75-2.80, 3 Li 2.75-2.78

=====

Here is an optimized crystal structure of InW3N from Alexandria. Energies are from PBE-GGA.

Properties
volume: 14.8 A^3/atom
final energy: -9.7322 eV per atom

Cell: 4.2017 4.2017 4.2017 Å, 90.00 90.00 90.00°
With the nearest neighbours (Å) after each atom.
Space group Pm-3m (No. 221)
Unique sites:
In 0.0000 0.0000 0.0000  12 W 2.97
W 0.0000 0.5000 0.5000  2 N 2.10
N 0.5000 0.5000 0.5000  6 W 2.10